(1)
A geometry-optimized NaCu4TeS2 structure, computed with PBE.

Cell and atoms, written as POSCAR:
```
NaCu4TeS2
1.0
3.842 0.000 0.000
0.000 3.842 0.000
0.000 0.000 9.863
Na Cu Te S
1 4 1 2
Direct
0.000 0.000 0.500
0.000 0.500 0.198
0.500 0.000 0.802
0.500 0.000 0.198
0.000 0.500 0.802
0.000 0.000 0.000
0.500 0.500 0.327
0.500 0.500 0.673
```

Calculated values
E_form (uncorrected): -331 meV per atom
DFT total energy: -3.97 eV per atom



(2)
A geometry-optimized Pr12Tl5Co2 structure, computed with PBE.

Cell and atoms, written as POSCAR:
```
Pr12Tl5Co2
1.0
7.914 0.000 0.000
-3.957 8.720 0.039
0.000 -3.026 9.720
Pr Tl Co
12 5 2
Direct
0.001 0.003 0.180
0.113 0.688 0.922
0.576 0.688 0.922
0.091 0.693 0.422
0.602 0.693 0.422
0.502 0.003 0.771
0.498 0.997 0.229
0.909 0.307 0.578
0.398 0.307 0.578
0.887 0.312 0.078
0.424 0.312 0.078
0.999 0.997 0.820
0.308 0.615 0.640
0.303 0.606 0.163
0.000 0.000 0.500
0.697 0.394 0.837
0.692 0.385 0.360
0.707 0.000 0.000
0.293 0.000 0.000
```

Calculated values
E_form: -0.055 eV per atom
DFT total energy: -4.44 eV per atom



(3)
A geometry-optimized Hg2Pd8S structure, computed with PBE.

Cell and atoms, written as POSCAR:
```
Hg2Pd8S
1.0
-3.185 -3.494 -1.300
4.998 -2.538 -0.944
-0.906 0.676 7.412
Hg Pd S
2 8 1
Direct
0.267 0.336 0.609
0.658 0.727 0.391
0.856 0.134 0.774
0.082 0.360 0.226
0.260 0.829 0.601
0.544 0.857 0.000
0.659 0.228 0.399
0.876 0.620 0.780
0.096 0.840 0.220
0.531 0.369 0.000
0.166 0.032 0.000
```

Calculated values
E_form (uncorrected): -134 meV per atom
DFT total energy: -4.34 eV per atom